a | The following is a PBE calculation of a geometry-optimized CsRbTl3 structure, from Alexandria via LeMat-Bulk.

Cell: 6.7395 6.7395 6.7395 Å, 90.00 90.00 90.00°
Closest atoms and distances in Å follow each position.
Fractional positions:
Cs1 0.0000 0.0000 0.0000  6 Tl 3.37
Rb1 0.5000 0.5000 0.5000  12 Tl 4.77
Tl1 0.0000 0.0000 0.5000  2 Cs 3.37
Tl2 0.0000 0.5000 0.0000  2 Cs 3.37
Tl3 0.5000 0.0000 0.0000  2 Cs 3.37

## Properties
N(E_F) = 6.326 states/eV/f.u.
Space-group type = No. 221
Crystal system = cubic

***

b | The following is a PBE calculation of a geometry-optimized CsRbTl3 structure, from Alexandria via LeMat-Bulk.

Cell: 6.6472 6.6472 6.6472 Å, 90.00 90.00 90.00°
Closest atoms and distances in Å follow each position.
Fractional positions:
Cs1 0.0000 0.0000 0.0000  12 Tl 4.70
Rb1 0.5000 0.5000 0.5000  6 Tl 3.32
Tl1 0.0000 0.5000 0.5000  2 Rb 3.32
Tl2 0.5000 0.0000 0.5000  2 Rb 3.32
Tl3 0.5000 0.5000 0.0000  2 Rb 3.32

## Properties
N(E_F) = 10.380 states/eV/f.u.
Space-group type = No. 221
Crystal system = cubic

***

c | The following is a PBE calculation of a geometry-optimized CsRbTl3 structure, from Alexandria via LeMat-Bulk.

Cell: 9.5293 10.4673 10.1595 Å, 90.00 119.00 90.00°
Closest atoms and distances in Å follow each position.
Fractional positions:
Cs1 0.2242 0.0068 0.0725  1 Cs 3.79, 4 Tl 4.04-4.17, 1 Rb 4.22
Cs2 0.2242 0.4932 0.5725  1 Cs 3.79, 4 Tl 4.04-4.17, 1 Rb 4.22
Cs3 0.7758 0.5068 0.4275  1 Cs 3.79, 4 Tl 4.04-4.17, 1 Rb 4.22
Cs4 0.7758 0.9932 0.9275  1 Cs 3.79, 4 Tl 4.04-4.17, 1 Rb 4.22
Rb1 0.4934 0.7186 0.9953  6 Tl 3.88-4.12, 2 Cs 4.22-4.27
Rb2 0.4934 0.7814 0.4953  6 Tl 3.88-4.12, 2 Cs 4.22-4.27
Rb3 0.5066 0.2186 0.5047  6 Tl 3.88-4.12, 2 Cs 4.22-4.27
Rb4 0.5066 0.2814 0.0047  6 Tl 3.88-4.12, 2 Cs 4.22-4.27
Tl1 0.0473 0.6506 0.8780  5 Tl 3.08-3.34
Tl2 0.0473 0.8494 0.3780  5 Tl 3.08-3.34
Tl3 0.0483 0.1439 0.3707  5 Tl 3.08-3.34
Tl4 0.0483 0.3561 0.8707  5 Tl 3.08-3.34
Tl5 0.2919 0.0021 0.6965  4 Tl 3.33-3.34
Tl6 0.2919 0.4979 0.1965  4 Tl 3.33-3.34
Tl7 0.7081 0.5021 0.8035  4 Tl 3.33-3.34
Tl8 0.7081 0.9979 0.3035  4 Tl 3.33-3.34
Tl9 0.9517 0.6439 0.1293  5 Tl 3.08-3.34
Tl10 0.9517 0.8561 0.6293  5 Tl 3.08-3.34
Tl11 0.9527 0.1506 0.6220  5 Tl 3.08-3.34
Tl12 0.9527 0.3494 0.1220  5 Tl 3.08-3.34

## Properties
N(E_F) = 1.817 states/eV/f.u.
Space-group type = No. 14
Crystal system = monoclinic

***

Energies relative to the most stable structure are a 573; b 492; c 0, reported in meV per atom.

***

a | The following is a PBE calculation of a geometry-optimized Cs2Rb4Tl structure, from Alexandria via LeMat-Bulk.

Cell: 13.0102 13.0102 13.0102 Å, 147.40 147.40 46.77°
Closest atoms and distances in Å follow each position.
Fractional positions:
Cs1 0.1418 0.1418 0.0000  9 Rb 4.80-5.18
Cs2 0.8582 0.8582 0.0000  9 Rb 4.80-5.18
Rb1 0.0000 0.5000 0.5000  2 Tl 3.65
Rb2 0.3429 0.3429 0.0000  1 Tl 3.75
Rb3 0.5000 0.0000 0.5000  2 Tl 3.65
Rb4 0.6571 0.6571 0.0000  1 Tl 3.75
Tl1 0.5000 0.5000 0.0000  6 Rb 3.65-3.75

## Properties
N(E_F) = 6.833 states/eV/f.u.
Space-group type = No. 139
Crystal system = tetragonal

***

b | The following is a PBE calculation of a geometry-optimized Cs2Rb4Tl structure, from Alexandria via LeMat-Bulk.

Cell: 10.2966 10.2966 8.8598 Å, 101.88 101.88 39.24°
Closest atoms and distances in Å follow each position.
Fractional positions:
Cs1 0.2115 0.2115 0.2154  1 Tl 4.13
Cs2 0.7885 0.7885 0.7846  1 Tl 4.13
Rb1 0.1039 0.1039 0.6765  1 Tl 3.85
Rb2 0.4543 0.4543 0.7605  2 Tl 4.05, 1 Rb 4.23
Rb3 0.5457 0.5457 0.2395  2 Tl 4.05, 1 Rb 4.23
Rb4 0.8961 0.8961 0.3235  1 Tl 3.85
Tl1 0.0000 0.0000 0.0000  6 Rb 3.85-4.05, 2 Cs 4.13

## Properties
N(E_F) = 5.363 states/eV/f.u.
Space-group type = No. 12
Crystal system = monoclinic

***

Energies relative to the most stable structure are a 29; b 0, reported in meV per atom.

***

a | The following is a PBE calculation of a geometry-optimized Cs2Rb2Tl15 structure, from Alexandria via LeMat-Bulk.

Cell: 8.8854 8.8854 8.8854 Å, 85.53 85.53 85.53°
Closest atoms and distances in Å follow each position.
Fractional positions:
Cs1 0.1499 0.1499 0.1499  1 Rb 4.01, 12 Tl 4.03-4.33
Cs2 0.8501 0.8501 0.8501  1 Rb 4.01, 12 Tl 4.03-4.33
Rb1 0.3926 0.3926 0.3926  1 Rb 3.56, 6 Tl 3.62-3.81
Rb2 0.6074 0.6074 0.6074  1 Rb 3.56, 6 Tl 3.62-3.81
Tl1 0.0000 0.5000 0.5000  8 Tl 3.33-3.55, 2 Rb 3.62
Tl2 0.1456 0.1456 0.6630  8 Tl 3.40-3.55
Tl3 0.1456 0.6630 0.1456  8 Tl 3.40-3.55
Tl4 0.1963 0.5000 0.8037  8 Tl 3.33-3.66
Tl5 0.1963 0.8037 0.5000  8 Tl 3.33-3.66
Tl6 0.3370 0.8544 0.8544  8 Tl 3.40-3.55
Tl7 0.5000 0.0000 0.5000  8 Tl 3.33-3.55, 2 Rb 3.62
Tl8 0.5000 0.1963 0.8037  8 Tl 3.33-3.66
Tl9 0.5000 0.5000 0.0000  8 Tl 3.33-3.55, 2 Rb 3.62
Tl10 0.5000 0.8037 0.1963  8 Tl 3.33-3.66
Tl11 0.6630 0.1456 0.1456  8 Tl 3.40-3.55
Tl12 0.8037 0.1963 0.5000  8 Tl 3.33-3.66
Tl13 0.8037 0.5000 0.1963  8 Tl 3.33-3.66
Tl14 0.8544 0.3370 0.8544  8 Tl 3.40-3.55
Tl15 0.8544 0.8544 0.3370  8 Tl 3.40-3.55

## Properties
N(E_F) = 11.883 states/eV/f.u.
Space-group type = No. 166
Crystal system = trigonal

***

b | The following is a PBE calculation of a geometry-optimized Cs2Rb2Tl15 structure, from Alexandria via LeMat-Bulk.

Cell: 8.9207 8.9207 8.9207 Å, 86.60 86.60 86.60°
Closest atoms and distances in Å follow each position.
Fractional positions:
Cs1 0.1119 0.1119 0.1119  6 Tl 3.64-3.89, 1 Cs 3.66, 1 Rb 4.02
Cs2 0.8881 0.8881 0.8881  6 Tl 3.64-3.89, 1 Cs 3.66, 1 Rb 4.02
Rb1 0.3580 0.3580 0.3580  12 Tl 3.95-4.21, 1 Cs 4.02
Rb2 0.6420 0.6420 0.6420  12 Tl 3.95-4.21, 1 Cs 4.02
Tl1 0.0000 0.0000 0.5000  8 Tl 3.34-3.64, 2 Cs 3.64
Tl2 0.0000 0.3159 0.6841  6 Tl 3.34-3.52
Tl3 0.0000 0.5000 0.0000  8 Tl 3.34-3.64, 2 Cs 3.64
Tl4 0.0000 0.6841 0.3159  6 Tl 3.34-3.52
Tl5 0.1737 0.6455 0.6455  8 Tl 3.35-3.64
Tl6 0.3159 0.0000 0.6841  6 Tl 3.34-3.52
Tl7 0.3159 0.6841 0.0000  6 Tl 3.34-3.52
Tl8 0.3545 0.3545 0.8263  8 Tl 3.35-3.64
Tl9 0.3545 0.8263 0.3545  8 Tl 3.35-3.64
Tl10 0.5000 0.0000 0.0000  8 Tl 3.34-3.64, 2 Cs 3.64
Tl11 0.6455 0.1737 0.6455  8 Tl 3.35-3.64
Tl12 0.6455 0.6455 0.1737  8 Tl 3.35-3.64
Tl13 0.6841 0.0000 0.3159  6 Tl 3.34-3.52
Tl14 0.6841 0.3159 0.0000  6 Tl 3.34-3.52
Tl15 0.8263 0.3545 0.3545  8 Tl 3.35-3.64

## Properties
N(E_F) = 13.069 states/eV/f.u.
Space-group type = No. 166
Crystal system = trigonal

***

Energies relative to the most stable structure are a 0; b 22, reported in meV per atom.

***

a | The following is a PBE calculation of a geometry-optimized Cs3RbTl structure, from Alexandria via LeMat-Bulk.

Cell: 7.6927 7.6927 7.6927 Å, 90.00 90.00 90.00°
Closest atoms and distances in Å follow each position.
Fractional positions:
Cs1 0.0000 0.0000 0.5000  2 Tl 3.85
Cs2 0.0000 0.5000 0.0000  2 Tl 3.85
Cs3 0.5000 0.0000 0.0000  2 Tl 3.85
Rb1 0.5000 0.5000 0.5000  12 Cs 5.44
Tl1 0.0000 0.0000 0.0000  6 Cs 3.85

## Properties
N(E_F) = 8.202 states/eV/f.u.
Space-group type = No. 221
Crystal system = cubic

***

b | The following is a PBE calculation of a geometry-optimized Cs3RbTl structure, from Alexandria via LeMat-Bulk.

Cell: 5.4534 12.0268 13.3982 Å, 86.44 89.88 76.92°
Closest atoms and distances in Å follow each position.
Fractional positions:
Cs1 0.0000 0.0000 0.0000  1 Tl 4.55, 4 Cs 5.00-5.07
Cs2 0.1234 0.7531 0.5099  1 Tl 4.55, 4 Cs 5.00-5.08
Cs3 0.3176 0.3626 0.0203  3 Tl 4.09-4.15
Cs4 0.4536 0.0954 0.6932  3 Tl 3.96-4.08
Cs5 0.6709 0.6571 0.8166  3 Tl 3.96-4.09
Cs6 0.8067 0.3902 0.4891  3 Tl 4.08-4.15
Rb1 0.4632 0.0747 0.3172  3 Rb 5.04-5.45, 8 Cs 5.05-5.25
Rb2 0.6600 0.6781 0.1924  3 Rb 5.04-5.45, 8 Cs 5.05-5.24
Tl1 0.2853 0.4307 0.7175  2 Tl 3.14
Tl2 0.8391 0.3219 0.7915  2 Tl 3.14

## Properties
N(E_F) = 4.356 states/eV/f.u.
Space-group type = No. 1
Crystal system = triclinic

***

c | The following is a PBE calculation of a geometry-optimized Cs3RbTl structure, from Alexandria via LeMat-Bulk.

Cell: 8.3401 8.3401 8.3401 Å, 90.00 90.00 90.00°
Closest atoms and distances in Å follow each position.
Fractional positions:
Cs1 0.0000 0.0000 0.5000  2 Rb 4.17
Cs2 0.0000 0.5000 0.0000  2 Rb 4.17
Cs3 0.5000 0.0000 0.0000  2 Rb 4.17
Rb1 0.0000 0.0000 0.0000  6 Cs 4.17
Tl1 0.5000 0.5000 0.5000  12 Cs 5.90

## Properties
N(E_F) = 8.339 states/eV/f.u.
Space-group type = No. 221
Crystal system = cubic

***

Energies relative to the most stable structure are a 80; b 0; c 432, reported in meV per atom.

***

a | The following is a PBE calculation of a geometry-optimized CsRbTl2Zn structure, from Alexandria via LeMat-Bulk.

Cell: 5.6513 5.6513 6.7784 Å, 90.00 90.00 90.00°
Closest atoms and distances in Å follow each position.
Fractional positions:
Cs1 0.0000 0.0000 0.0000  2 Zn 3.39
Rb1 0.5000 0.5000 0.0000  4 Cs 4.00, 8 Tl 4.41
Tl1 0.0000 0.5000 0.5000  2 Zn 2.83
Tl2 0.5000 0.0000 0.5000  2 Zn 2.83
Zn1 0.0000 0.0000 0.5000  4 Tl 2.83

## Properties
N(E_F) = 4.601 states/eV/f.u.
Space-group type = No. 123
Crystal system = tetragonal

***

b | The following is a PBE calculation of a geometry-optimized CsRbTl2Zn structure, from Alexandria via LeMat-Bulk.

Cell: 5.6405 5.6405 6.6268 Å, 90.00 90.00 90.00°
Closest atoms and distances in Å follow each position.
Fractional positions:
Cs1 0.0000 0.0000 0.0000  4 Rb 3.99, 8 Tl 4.35
Rb1 0.5000 0.5000 0.0000  2 Zn 3.31
Tl1 0.0000 0.5000 0.5000  2 Zn 2.82
Tl2 0.5000 0.0000 0.5000  2 Zn 2.82
Zn1 0.5000 0.5000 0.5000  4 Tl 2.82

## Properties
N(E_F) = 3.654 states/eV/f.u.
Space-group type = No. 123
Crystal system = tetragonal

***

Energies relative to the most stable structure are a 39; b 0, reported in meV per atom.

***

a | The following is a PBE calculation of a geometry-optimized CsRbV2 structure, from Alexandria via LeMat-Bulk.

Cell: 6.2152 6.2152 6.2152 Å, 60.00 60.00 60.00°
Closest atoms and distances in Å follow each position.
Fractional positions:
Cs1 0.0000 0.0000 0.0000  8 V 3.81
Rb1 0.5000 0.5000 0.5000  8 V 3.81
V1 0.2500 0.2500 0.2500  4 Rb 3.81, 4 Cs 3.81
V2 0.7500 0.7500 0.7500  4 Rb 3.81, 4 Cs 3.81

## Properties
N(E_F) = 13.196 states/eV/f.u.
Space-group type = No. 225
Crystal system = cubic

***

b | The following is a PBE calculation of a geometry-optimized CsRbV2 structure, from Alexandria via LeMat-Bulk.

Cell: 13.0427 13.0427 13.0427 Å, 159.69 159.69 28.88°
Closest atoms and distances in Å follow each position.
Fractional positions:
Cs1 0.0000 0.0000 0.0000  4 Rb 3.25, 4 V 3.36
Cs2 0.7500 0.2500 0.5000  4 Rb 3.25, 4 V 3.36
Rb1 0.2500 0.7500 0.5000  4 Cs 3.25
Rb2 0.5000 0.5000 0.0000  4 Cs 3.25
V1 0.3750 0.1405 0.2655  2 V 2.30
V2 0.8595 0.1250 0.2345  2 V 2.30
V3 0.8750 0.1095 0.7345  2 V 2.30
V4 0.8905 0.6250 0.7655  2 V 2.30

## Properties
N(E_F) = 6.624 states/eV/f.u.
Space-group type = No. 122
Crystal system = tetragonal

***

Energies relative to the most stable structure are a 0; b 108, reported in meV per atom.